1.
# KNi2W PBE-GGA optimized geometry
# **ΔH_f (0 K)**: 1.209 eV per atom
# **Theoretical density**: 6.87 g/cm³
# **Spin magnetization**: 0.250 μB per atom
# **E_tot**: -5.194 eV/atom
data_KNi2W
_cell_length_a 5.916
_cell_length_b 5.916
_cell_length_c 5.916
_cell_angle_alpha 152.50
_cell_angle_beta 119.68
_cell_angle_gamma 67.54
_space_group_name_H-M_alt 'P 1'
_space_group_IT_number 1
loop_
_space_group_symop_operation_xyz
'x,y,z'
loop_
_atom_site_label
_atom_site_type_symbol
_atom_site_fract_x
_atom_site_fract_y
_atom_site_fract_z
K1 K 0.000 0.000 0.000
Ni1 Ni 0.302 0.802 0.500
Ni2 Ni 0.698 0.198 0.500
W1 W 0.500 0.500 0.000

2.
# KY2Ni PBE-GGA optimized geometry
# **ΔH_f (0 K)**: -0.029 eV per atom
# **Theoretical density**: 3.15 g/cm³
# **Spin magnetization**: 0.000 μB per atom
# **E_tot**: -4.981 eV/atom
data_KY2Ni
_cell_length_a 10.541
_cell_length_b 10.541
_cell_length_c 10.541
_cell_angle_alpha 22.09
_cell_angle_beta 22.09
_cell_angle_gamma 22.09
_space_group_name_H-M_alt 'P 1'
_space_group_IT_number 1
loop_
_space_group_symop_operation_xyz
'x,y,z'
loop_
_atom_site_label
_atom_site_type_symbol
_atom_site_fract_x
_atom_site_fract_y
_atom_site_fract_z
K1 K 0.000 0.000 0.000
Y1 Y 0.212 0.212 0.212
Y2 Y 0.788 0.788 0.788
Ni1 Ni 0.500 0.500 0.500

3.
# KYNi3 PBE-GGA optimized geometry
# **ΔH_f (0 K)**: 1.373 eV per atom
# **Theoretical density**: 5.00 g/cm³
# **Spin magnetization**: 0.000 μB per atom
# **E_tot**: -3.608 eV/atom
data_KYNi3
_cell_length_a 4.658
_cell_length_b 4.658
_cell_length_c 4.658
_cell_angle_alpha 90.00
_cell_angle_beta 90.00
_cell_angle_gamma 90.00
_space_group_name_H-M_alt 'P 1'
_space_group_IT_number 1
loop_
_space_group_symop_operation_xyz
'x,y,z'
loop_
_atom_site_label
_atom_site_type_symbol
_atom_site_fract_x
_atom_site_fract_y
_atom_site_fract_z
K1 K 0.000 0.000 0.000
Y1 Y 0.500 0.500 0.500
Ni1 Ni 0.000 0.000 0.500
Ni2 Ni 0.000 0.500 0.000
Ni3 Ni 0.500 0.000 0.000

4.
# KY2Ni PBE-GGA optimized geometry
# **ΔH_f (0 K)**: 0.250 eV per atom
# **Theoretical density**: 3.63 g/cm³
# **Spin magnetization**: 0.001 μB per atom
# **E_tot**: -4.701 eV/atom
data_KY2Ni
_cell_length_a 6.654
_cell_length_b 6.654
_cell_length_c 6.654
_cell_angle_alpha 148.56
_cell_angle_beta 123.82
_cell_angle_gamma 65.81
_space_group_name_H-M_alt 'P 1'
_space_group_IT_number 1
loop_
_space_group_symop_operation_xyz
'x,y,z'
loop_
_atom_site_label
_atom_site_type_symbol
_atom_site_fract_x
_atom_site_fract_y
_atom_site_fract_z
K1 K 0.000 0.000 0.000
Y1 Y 0.323 0.823 0.500
Y2 Y 0.677 0.177 0.500
Ni1 Ni 0.500 0.500 0.000